Entry 1:
The following is a DFT calculation (PBE-GGA) of a geometry-optimized AgGePtN2 structure.

Summary:
N(E_F) (states/eV per cell): 3.46
Uncorrected formation energy (kJ per mole of atoms): 188

Cell lengths 3.8916, 6.0928, 3.8916 Å; angles 90.00, 90.00, 90.00 degrees
Last column: nearest neighbours and their distance in Å.
Atoms (fractional coordinates):
Ge 0.0000 0.5000 0.0000  4 Pt 2.75, 2 Ag 3.05
Ag 0.0000 0.0000 0.0000  4 N 1.95
Pt 0.5000 0.5000 0.5000  4 Ge 2.75
N 0.0000 0.0000 0.5000  2 Ag 1.95
N 0.5000 0.0000 0.0000  2 Ag 1.95

Entry 2:
The following is a DFT calculation (PBE-GGA) of a geometry-optimized AgGeRuN2 structure.

Summary:
N(E_F) (states/eV per cell): 4.00
Uncorrected formation energy (kJ per mole of atoms): 88

Cell lengths 3.8069, 5.5448, 3.8069 Å; angles 90.00, 90.00, 90.00 degrees
Last column: nearest neighbours and their distance in Å.
Atoms (fractional coordinates):
Ru 0.0000 0.0000 0.0000  4 N 1.90
Ge 0.5000 0.5000 0.5000  4 Ag 2.69
Ag 0.0000 0.5000 0.0000  4 Ge 2.69, 2 Ru 2.77
N 0.0000 0.0000 0.5000  2 Ru 1.90
N 0.5000 0.0000 0.0000  2 Ru 1.90

Entry 3:
The following is a DFT calculation (PBE-GGA) of a geometry-optimized AgGeS2N structure.

Summary:
N(E_F) (states/eV per cell): 4.53
Uncorrected formation energy (kJ per mole of atoms): 77

Cell lengths 4.8998, 4.8998, 3.6566 Å; angles 90.00, 90.00, 90.00 degrees
Last column: nearest neighbours and their distance in Å.
Atoms (fractional coordinates):
Ge 0.0000 0.0000 0.0000  2 N 1.83
S 0.0000 0.5000 0.0000  2 Ge 2.45
S 0.5000 0.0000 0.0000  2 Ge 2.45
Ag 0.5000 0.5000 0.5000  8 S 3.06
N 0.0000 0.0000 0.5000  2 Ge 1.83

Entry 4:
The following is a DFT calculation (PBE-GGA) of a geometry-optimized AgGeSN2 structure.

Summary:
N(E_F) (states/eV per cell): 3.89
Uncorrected formation energy (kJ per mole of atoms): 111

Cell lengths 3.6711, 3.6711, 5.8342 Å; angles 90.00, 90.00, 90.00 degrees
Last column: nearest neighbours and their distance in Å.
Atoms (fractional coordinates):
Ge 0.0000 0.0000 0.0000  4 N 1.84
S 0.0000 0.0000 0.5000  4 Ag 2.60
Ag 0.5000 0.5000 0.5000  4 S 2.60
N 0.0000 0.5000 0.0000  2 Ge 1.84
N 0.5000 0.0000 0.0000  2 Ge 1.84

Entry 5:
The following is a DFT calculation (PBE-GGA) of a geometry-optimized AgGeS2N structure.

Summary:
N(E_F) (states/eV per cell): 3.36
Uncorrected formation energy (kJ per mole of atoms): 112

Cell lengths 4.9789, 4.9789, 3.9884 Å; angles 90.00, 90.00, 90.00 degrees
Last column: nearest neighbours and their distance in Å.
Atoms (fractional coordinates):
Ge 0.5000 0.5000 0.5000  8 S 3.19, 4 N 3.52
S 0.0000 0.5000 0.0000  2 Ag 2.49
S 0.5000 0.0000 0.0000  2 Ag 2.49
Ag 0.0000 0.0000 0.0000  2 N 1.99
N 0.0000 0.0000 0.5000  2 Ag 1.99

Entry 6:
The following is a DFT calculation (PBE-GGA) of a geometry-optimized AgGeSN2 structure.

Summary:
N(E_F) (states/eV per cell): 2.90
Uncorrected formation energy (kJ per mole of atoms): 168

Cell lengths 4.0793, 4.0793, 5.3195 Å; angles 90.00, 90.00, 90.00 degrees
Last column: nearest neighbours and their distance in Å.
Atoms (fractional coordinates):
Ge 0.5000 0.5000 0.5000  4 S 2.88
S 0.0000 0.0000 0.5000  2 Ag 2.66, 4 Ge 2.88
Ag 0.0000 0.0000 0.0000  4 N 2.04
N 0.0000 0.5000 0.0000  2 Ag 2.04
N 0.5000 0.0000 0.0000  2 Ag 2.04